Record 1
# LiLaRu2

A relaxed LiLaRu2 crystal (PBE-GGA, Alexandria via LeMat-Bulk).

a b c (Å): 2.9506 3.8816 6.5383
angles (deg): 90.00 90.00 90.00
Closest atoms and distances in Å follow each position.
Sites, in units of the cell vectors:
La 0.0000 0.0000 0.4719  5 Ru 2.87-3.07, 2 La 2.95
Ru 0.0000 0.0000 0.0327  6 Ru 2.63-2.95, 4 Li 2.84, 1 La 2.87
Ru 0.5000 0.5000 0.1856  1 Li 2.46, 4 Ru 2.63
Li 0.5000 0.5000 0.8099  1 Ru 2.46

Output
**Calculated total energy**: -6.153 eV/atom
**Mass density**: 7.72 Mg/m³
**Excess energy over the best structure of this formula in the dataset**: 0.73 eV per formula unit
**ΔH_f (0 K)**: 0.19 eV/atom

=====

Record 2
# CsPr3Te4

A relaxed CsPr3Te4 crystal (PBE-GGA, Alexandria via LeMat-Bulk).

a b c (Å): 4.6141 4.6141 32.5901
angles (deg): 90.00 90.00 120.00
Closest atoms and distances in Å follow each position.
Sites, in units of the cell vectors:
Te 0.0000 0.0000 0.1662  3 Pr 3.21
Te 0.6667 0.3333 0.5557  6 Pr 3.22
Te 0.0000 0.0000 0.8338  3 Pr 3.21
Te 0.0000 0.0000 0.6662  3 Pr 3.21
Te 0.3333 0.6667 0.4443  6 Pr 3.22
Te 0.0000 0.0000 0.3338  3 Pr 3.21
Te 0.6667 0.3333 0.9443  6 Pr 3.22
Te 0.3333 0.6667 0.0557  6 Pr 3.22
Cs 0.6667 0.3333 0.7500  6 Te 3.82
Cs 0.3333 0.6667 0.2500  6 Te 3.82
Pr 0.0000 0.0000 0.5000  6 Te 3.22
Pr 0.0000 0.0000 0.0000  6 Te 3.22
Pr 0.6667 0.3333 0.3885  6 Te 3.21-3.22
Pr 0.3333 0.6667 0.8885  6 Te 3.21-3.22
Pr 0.3333 0.6667 0.6115  6 Te 3.21-3.22
Pr 0.6667 0.3333 0.1115  6 Te 3.21-3.22

Output
**Calculated total energy**: -4.898 eV/atom
**Mass density**: 5.89 Mg/m³

=====

Record 3
# SrThSi2Pt5

A relaxed SrThSi2Pt5 crystal (PBE-GGA, Alexandria via LeMat-Bulk).

a b c (Å): 4.1714 4.1714 11.3351
angles (deg): 90.00 90.00 90.00
Closest atoms and distances in Å follow each position.
Sites, in units of the cell vectors:
Th 0.0000 0.0000 0.0000  8 Pt 2.98
Pt 0.5000 0.0000 0.8117  2 Si 2.41
Pt 0.5000 0.0000 0.1883  2 Si 2.41
Pt 0.0000 0.5000 0.1883  2 Si 2.41
Pt 0.0000 0.5000 0.8117  2 Si 2.41
Pt 0.5000 0.5000 0.5000  2 Si 2.33
Si 0.5000 0.5000 0.7056  5 Pt 2.33-2.41
Si 0.5000 0.5000 0.2944  5 Pt 2.33-2.41
Sr 0.0000 0.0000 0.5000  4 Pt 2.95

Output
**Calculated total energy**: -6.469 eV/atom
**Mass density**: 11.38 Mg/m³

=====

Record 4
# Tb2Pa3N8

A relaxed Tb2Pa3N8 crystal (PBE-GGA, Alexandria via LeMat-Bulk).

a b c (Å): 5.8420 7.0203 6.6823
angles (deg): 121.69 108.93 90.00
Closest atoms and distances in Å follow each position.
Sites, in units of the cell vectors:
Tb 0.6430 0.7169 0.4338  6 N 2.40-2.57
Tb 0.3570 0.2831 0.5662  6 N 2.40-2.57
N 0.6062 0.6665 0.7575  2 Pa 2.21-2.27, 1 Tb 2.44
N 0.9228 0.1049 0.2098  3 Pa 2.30-2.33, 1 Tb 2.57
N 0.3938 0.3335 0.2425  2 Pa 2.21-2.27, 1 Tb 2.44
N 0.0813 0.3943 0.7887  2 Pa 2.21, 1 Tb 2.40
N 0.0772 0.8951 0.7902  3 Pa 2.30-2.33, 1 Tb 2.57
N 0.9187 0.6057 0.2113  2 Pa 2.21, 1 Tb 2.40
N 0.3938 0.9090 0.2425  2 Pa 2.21-2.27, 1 Tb 2.44
N 0.6062 0.0910 0.7575  2 Pa 2.21-2.27, 1 Tb 2.44
Pa 0.0000 0.2625 0.0000  6 N 2.21-2.33
Pa 0.0000 0.7375 0.0000  6 N 2.21-2.33
Pa 0.5000 0.0000 0.0000  6 N 2.27-2.30

Output
**Calculated total energy**: -9.173 eV/atom
**Mass density**: 8.65 Mg/m³